No. 1
Material: MnNb3Br
Method: DFT, PBE-GGA
State: relaxed

a b c (Å): 4.6959 4.6959 4.6959
angles (deg): 90.00 90.00 90.00
Fractional coordinates of all 5 atoms:
Nb 0.5000 0.0000 0.0000
Nb 0.0000 0.0000 0.5000
Nb 0.0000 0.5000 0.0000
Mn 0.5000 0.5000 0.5000
Br 0.0000 0.0000 0.0000

Computed properties:
formation energy without anion corrections	156	kJ/mol of atoms
D(E_F)	2.74	states/eV per atom
final energy	-6.59	eV/atom
distance to the lowest polymorph of the same formula	3.385	eV/f.u.
ρ	6.63	g cm⁻³
total moment	0.5	μB/f.u.

No. 2
Material: LaHg3Pd
Method: DFT, PBE-GGA
State: relaxed

a b c (Å): 5.9495 5.9495 5.9495
angles (deg): 90.00 90.00 90.00
Fractional coordinates of all 5 atoms:
Hg 0.0000 0.0000 0.5000
Hg 0.0000 0.5000 0.0000
Hg 0.5000 0.0000 0.0000
Pd 0.5000 0.5000 0.5000
La 0.0000 0.0000 0.0000

Computed properties:
D(E_F)	1.13	states/eV per atom
final energy	-1.42	eV/atom
distance to the lowest polymorph of the same formula	6.139	eV/f.u.
calculated formation energy	0.782	eV per atom
ρ	6.68	g cm⁻³
total moment	0.0	μB/f.u.

No. 3
Material: CsAsHBr2
Method: DFT, PBE-GGA
State: relaxed

a b c (Å): 6.0282 6.0282 3.7071
angles (deg): 90.00 90.00 90.00
Fractional coordinates of all 5 atoms:
Br 0.0000 0.5000 0.0000
Br 0.5000 0.0000 0.0000
As 0.0000 0.0000 0.5000
Cs 0.5000 0.5000 0.5000
H 0.0000 0.0000 0.0000

Computed properties:
D(E_F)	0.53	states/eV per atom
final energy	-2.67	eV/atom
distance to the lowest polymorph of the same formula	0.000	eV/f.u.
ρ	4.54	g cm⁻³
total moment	1.1	μB/f.u.